1.
The following is a PBE-GGA calculation of a relaxed TbZnSn crystal, from the Alexandria database.

Output
The crystal system is cubic. The formation energy from the elements is -418.5 meV per atom.

Cell and atoms, written as CIF:
```
data_TbZnSn
_cell_length_a 6.625
_cell_length_b 6.625
_cell_length_c 6.625
_cell_angle_alpha 90.00
_cell_angle_beta 90.00
_cell_angle_gamma 90.00
_space_group_name_H-M_alt 'F -4 3 m'
_space_group_IT_number 216
_space_group_name_Hall 'F -4 2 3'
loop_
_atom_site_label
_atom_site_type_symbol
_atom_site_fract_x
_atom_site_fract_y
_atom_site_fract_z
_atom_site_occupancy
Tb1 Tb 0.000 0.000 0.000 1
Zn1 Zn 0.250 0.250 0.750 1
Sn1 Sn 0.000 0.000 0.500 1
```

2.
The following is a PBE-GGA calculation of a relaxed La2YPb crystal, from the Alexandria database.

Output
The crystal system is tetragonal. The formation energy from the elements is -349.8 meV per atom.

Cell and atoms, written as CIF:
```
data_La2YPb
_cell_length_a 4.931
_cell_length_b 4.931
_cell_length_c 5.176
_cell_angle_alpha 90.00
_cell_angle_beta 90.00
_cell_angle_gamma 90.00
_space_group_name_H-M_alt 'P 4/m m m'
_space_group_IT_number 123
_space_group_name_Hall '-P 4 2'
loop_
_atom_site_label
_atom_site_type_symbol
_atom_site_fract_x
_atom_site_fract_y
_atom_site_fract_z
_atom_site_occupancy
La1 La 0.000 0.500 0.000 1
Y1 Y 0.000 0.000 0.500 1
Pb1 Pb 0.500 0.500 0.500 1
```

3.
The following is a PBE-GGA calculation of a relaxed Zr3Cd4 crystal, from the Alexandria database.

Output
The crystal system is trigonal. The formation energy from the elements is 30.2 meV per atom.

Cell and atoms, written as CIF:
```
data_Zr3Cd4
_cell_length_a 4.9213
_cell_length_b 4.9213
_cell_length_c 22.2120
_cell_angle_alpha 90.00
_cell_angle_beta 90.00
_cell_angle_gamma 120.00
_space_group_name_H-M_alt 'R -3 m'
_space_group_IT_number 166
_space_group_name_Hall '-R 3 2"'
loop_
_atom_site_label
_atom_site_type_symbol
_atom_site_fract_x
_atom_site_fract_y
_atom_site_fract_z
_atom_site_occupancy
Zr1 Zr 0.0000 0.0000 0.0000 1
Zr2 Zr 0.0000 0.0000 0.2905 1
Cd1 Cd 0.0000 0.0000 0.1396 1
Cd2 Cd 0.0000 0.0000 0.4269 1
```

4.
The following is a PBE-GGA calculation of a relaxed In2AsCl crystal, from the Alexandria database.

Output
The crystal system is monoclinic. The calculation puts the total energy at -3.35 eV per atom.

Cell and atoms, written as CIF:
```
data_In2AsCl
_cell_length_a 7.499
_cell_length_b 4.391
_cell_length_c 7.243
_cell_angle_alpha 90.00
_cell_angle_beta 95.17
_cell_angle_gamma 90.00
_space_group_name_H-M_alt 'C 1 2/m 1'
_space_group_IT_number 12
_space_group_name_Hall '-C 2y'
loop_
_atom_site_label
_atom_site_type_symbol
_atom_site_fract_x
_atom_site_fract_y
_atom_site_fract_z
_atom_site_occupancy
In1 In 0.182 0.000 0.192 1
As1 As 0.000 0.500 0.000 1
Cl1 Cl 0.000 0.000 0.500 1
```

5.
The following is a PBE-GGA calculation of a relaxed KNi2Ag crystal, from the Alexandria database.

Output
The crystal system is trigonal. The formation energy from the elements is 716.3 meV per atom.

Cell and atoms, written as CIF:
```
data_KNi2Ag
_cell_length_a 2.8294
_cell_length_b 2.8294
_cell_length_c 29.2448
_cell_angle_alpha 90.00
_cell_angle_beta 90.00
_cell_angle_gamma 120.00
_space_group_name_H-M_alt 'R -3 m'
_space_group_IT_number 166
_space_group_name_Hall '-R 3 2"'
loop_
_atom_site_label
_atom_site_type_symbol
_atom_site_fract_x
_atom_site_fract_y
_atom_site_fract_z
_atom_site_occupancy
K1 K 0.0000 0.0000 0.0000 1
Ni1 Ni 0.0000 0.0000 0.2410 1
Ag1 Ag 0.0000 0.0000 0.5000 1
```

6.
The following is a PBE-GGA calculation of a relaxed LiMn2GaH crystal, from the Alexandria database.

Output
The crystal system is tetragonal. The calculation puts the total energy at -5.44 eV per atom.

Cell and atoms, written as CIF:
```
data_LiMn2GaH
_cell_length_a 3.779
_cell_length_b 3.779
_cell_length_c 3.746
_cell_angle_alpha 90.00
_cell_angle_beta 90.00
_cell_angle_gamma 90.00
_space_group_name_H-M_alt 'P 4/m m m'
_space_group_IT_number 123
_space_group_name_Hall '-P 4 2'
loop_
_atom_site_label
_atom_site_type_symbol
_atom_site_fract_x
_atom_site_fract_y
_atom_site_fract_z
_atom_site_occupancy
Li1 Li 0.000 0.000 0.000 1
Mn1 Mn 0.000 0.500 0.500 1
Ga1 Ga 0.500 0.500 0.000 1
H1 H 0.000 0.000 0.500 1
```

7.
The following is a PBE-GGA calculation of a relaxed Ce4SbTe2Pb crystal, from the Alexandria database.

Output
The crystal system is monoclinic. The calculation puts the total energy at -5.78 eV per atom.

Cell and atoms, written as CIF:
```
data_Ce4SbTe2Pb
_cell_length_a 7.766
_cell_length_b 4.545
_cell_length_c 7.866
_cell_angle_alpha 90.00
_cell_angle_beta 109.78
_cell_angle_gamma 90.00
_space_group_name_H-M_alt 'P 1 2/m 1'
_space_group_IT_number 10
_space_group_name_Hall '-P 2y'
loop_
_atom_site_label
_atom_site_type_symbol
_atom_site_fract_x
_atom_site_fract_y
_atom_site_fract_z
_atom_site_occupancy
Ce1 Ce 0.247 0.000 0.247 1
Ce2 Ce 0.248 0.500 0.751 1
Sb1 Sb 0.000 0.500 0.000 1
Te1 Te 0.500 0.000 0.000 1
Te2 Te 0.500 0.500 0.500 1
Pb1 Pb 0.000 0.000 0.500 1
```

8.
The following is a PBE-GGA calculation of a relaxed Li3CaLa crystal, from the Alexandria database.

Output
The crystal system is cubic. The formation energy from the elements is 779.4 meV per atom.

Cell and atoms, written as CIF:
```
data_Li3CaLa
_cell_length_a 5.613
_cell_length_b 5.613
_cell_length_c 5.613
_cell_angle_alpha 90.00
_cell_angle_beta 90.00
_cell_angle_gamma 90.00
_space_group_name_H-M_alt 'P m -3 m'
_space_group_IT_number 221
_space_group_name_Hall '-P 4 2 3'
loop_
_atom_site_label
_atom_site_type_symbol
_atom_site_fract_x
_atom_site_fract_y
_atom_site_fract_z
_atom_site_occupancy
Li1 Li 0.000 0.000 0.500 1
Ca1 Ca 0.500 0.500 0.500 1
La1 La 0.000 0.000 0.000 1
```

Magnetization per entry: 0.00 0.00 2.31 0.00 1.04 5.41 3.95 1.44 Bohr magnetons per cell